1.
DyErCu2As4 after structural relaxation, computed with PBE-GGA.

Calculated values
The calculation puts the total DFT energy (no corrections) at -5.22 eV per atom. Its crystal system is tetragonal.

Cell and atoms, written as CIF:
```
data_DyErCu2As4
_symmetry_space_group_name_H-M 'P 4 m m'
_symmetry_Int_Tables_number 99
_cell_length_a 3.8995
_cell_length_b 3.8995
_cell_length_c 9.8023
_cell_angle_alpha 90.00
_cell_angle_beta 90.00
_cell_angle_gamma 90.00
loop_
_symmetry_equiv_pos_as_xyz
'x,y,z'
'-y,x,z'
'-x,-y,z'
'y,-x,z'
'-x,y,z'
'y,x,z'
'x,-y,z'
'-y,-x,z'
loop_
_atom_site_label
_atom_site_type_symbol
_atom_site_fract_x
_atom_site_fract_y
_atom_site_fract_z
_atom_site_occupancy
Dy1 Dy 0.0000 0.0000 0.0000 1
Er1 Er 0.5000 0.5000 0.5269 1
Cu1 Cu 0.0000 0.5000 0.2642 1
As1 As 0.0000 0.0000 0.4262 1
As2 As 0.0000 0.5000 0.7623 1
As3 As 0.5000 0.5000 0.1026 1
```

***

2.
SmCuAg after structural relaxation, computed with PBE-GGA.

Calculated values
The calculation puts the total DFT energy (no corrections) at -4.01 eV per atom. The calculation puts the energy of formation at -6.0 kcal/mol of atoms. Its crystal system is monoclinic.

Cell and atoms, written as CIF:
```
data_SmCuAg
_symmetry_space_group_name_H-M 'C 1 2/m 1'
_symmetry_Int_Tables_number 12
_cell_length_a 10.1296
_cell_length_b 4.1157
_cell_length_c 7.2748
_cell_angle_alpha 90.00
_cell_angle_beta 124.34
_cell_angle_gamma 90.00
loop_
_symmetry_equiv_pos_as_xyz
'x,y,z'
'-x,-y,-z'
'-x,y,-z'
'x,-y,z'
'x+1/2,y+1/2,z'
'-x+1/2,-y+1/2,-z'
'-x+1/2,y+1/2,-z'
'x+1/2,-y+1/2,z'
loop_
_atom_site_label
_atom_site_type_symbol
_atom_site_fract_x
_atom_site_fract_y
_atom_site_fract_z
_atom_site_occupancy
Sm1 Sm 0.0568 0.0000 0.3016 1
Cu1 Cu 0.1395 0.5000 0.6669 1
Ag1 Ag 0.1768 0.5000 0.0858 1
```

***

3.
Y2ErNi4Sn4 after structural relaxation, computed with PBE-GGA.

Calculated values
The calculation puts the total DFT energy (no corrections) at -5.63 eV per atom. Its crystal system is orthorhombic.

Cell and atoms, written as CIF:
```
data_Y2ErNi4Sn4
_symmetry_space_group_name_H-M 'I m m m'
_symmetry_Int_Tables_number 71
_symmetry_space_group_name_Hall '-I 2 2'
_cell_length_a 4.3760
_cell_length_b 6.9958
_cell_length_c 14.2107
_cell_angle_alpha 90.00
_cell_angle_beta 90.00
_cell_angle_gamma 90.00
loop_
_atom_site_label
_atom_site_type_symbol
_atom_site_fract_x
_atom_site_fract_y
_atom_site_fract_z
_atom_site_occupancy
Y1 Y 0.0000 0.0000 0.1307 1
Er1 Er 0.0000 0.5000 0.0000 1
Ni1 Ni 0.0000 0.1919 0.3206 1
Sn1 Sn 0.0000 0.2940 0.5000 1
Sn2 Sn 0.0000 0.5000 0.2156 1
```

***

4.
Tb3IrO6 after structural relaxation, computed with PBE-GGA.

Calculated values
The calculation puts the total DFT energy (no corrections) at -7.86 eV per atom. Its crystal system is orthorhombic.

Cell and atoms, written as CIF:
```
data_Tb3IrO6
_symmetry_space_group_name_H-M 'C m c 21'
_symmetry_Int_Tables_number 36
_cell_length_a 8.8121
_cell_length_b 10.9572
_cell_length_c 5.6391
_cell_angle_alpha 90.00
_cell_angle_beta 90.00
_cell_angle_gamma 90.00
loop_
_symmetry_equiv_pos_as_xyz
'x,y,z'
'-x,-y,z+1/2'
'-x,y,z'
'x,-y,z+1/2'
'x+1/2,y+1/2,z'
'-x+1/2,-y+1/2,z+1/2'
'-x+1/2,y+1/2,z'
'x+1/2,-y+1/2,z+1/2'
loop_
_atom_site_label
_atom_site_type_symbol
_atom_site_fract_x
_atom_site_fract_y
_atom_site_fract_z
_atom_site_occupancy
Tb1 Tb 0.0000 0.0995 0.0000 1
Tb2 Tb 0.1975 0.3975 0.0533 1
Ir1 Ir 0.0000 0.3025 0.5556 1
O1 O 0.0000 0.2841 0.2287 1
O2 O 0.0000 0.4543 0.7813 1
O3 O 0.1552 0.2386 0.7959 1
O4 O 0.1581 0.0183 0.2799 1
```

***

5.
Al2NiTe4 after structural relaxation, computed with PBE-GGA.

Calculated values
The calculation puts the total DFT energy (no corrections) at -3.92 eV per atom. Its crystal system is tetragonal.

Cell and atoms, written as CIF:
```
data_Al2NiTe4
_symmetry_space_group_name_H-M 'P 41 2 2'
_symmetry_Int_Tables_number 91
_cell_length_a 8.0247
_cell_length_b 8.0247
_cell_length_c 11.5193
_cell_angle_alpha 90.00
_cell_angle_beta 90.00
_cell_angle_gamma 90.00
loop_
_symmetry_equiv_pos_as_xyz
'x,y,z'
'-y,x,z+1/4'
'-x,-y,z+1/2'
'y,-x,z+3/4'
'x,-y,-z+1/2'
'-y,-x,-z+1/4'
'-x,y,-z'
'y,x,-z+3/4'
loop_
_atom_site_label
_atom_site_type_symbol
_atom_site_fract_x
_atom_site_fract_y
_atom_site_fract_z
_atom_site_occupancy
Al1 Al 0.0000 0.2638 0.0000 1
Al2 Al 0.2501 0.2501 0.3750 1
Ni1 Ni 0.2469 0.5000 0.7500 1
Te1 Te 0.0270 0.2585 0.7557 1
Te2 Te 0.2651 0.4861 0.9815 1
```

***

6.
BeNiPd after structural relaxation, computed with PBE-GGA.

Calculated values
The calculation puts the total DFT energy (no corrections) at -4.55 eV per atom. Its crystal system is cubic.

Cell and atoms, written as CIF:
```
data_BeNiPd
_symmetry_space_group_name_H-M 'F -4 3 m'
_symmetry_Int_Tables_number 216
_symmetry_space_group_name_Hall 'F -4 2 3'
_cell_length_a 5.5110
_cell_length_b 5.5110
_cell_length_c 5.5110
_cell_angle_alpha 90.00
_cell_angle_beta 90.00
_cell_angle_gamma 90.00
loop_
_atom_site_label
_atom_site_type_symbol
_atom_site_fract_x
_atom_site_fract_y
_atom_site_fract_z
_atom_site_occupancy
Be1 Be 0.0000 0.0000 0.0000 1
Ni1 Ni 0.0000 0.0000 0.5000 1
Pd1 Pd 0.2500 0.2500 0.2500 1
```

***

7.
TmGaNO after structural relaxation, computed with PBE-GGA.

Calculated values
The calculation puts the total DFT energy (no corrections) at -6.64 eV per atom. Its crystal system is orthorhombic.

Cell and atoms, written as CIF:
```
data_TmGaNO
_symmetry_space_group_name_H-M 'P c a 21'
_symmetry_Int_Tables_number 29
_cell_length_a 5.8430
_cell_length_b 7.3842
_cell_length_c 5.1433
_cell_angle_alpha 90.00
_cell_angle_beta 90.00
_cell_angle_gamma 90.00
loop_
_symmetry_equiv_pos_as_xyz
'x,y,z'
'-x,-y,z+1/2'
'-x+1/2,y,z+1/2'
'x+1/2,-y,z'
loop_
_atom_site_label
_atom_site_type_symbol
_atom_site_fract_x
_atom_site_fract_y
_atom_site_fract_z
_atom_site_occupancy
Tm1 Tm 0.0510 0.1273 0.0000 1
Ga1 Ga 0.0916 0.5983 0.9637 1
N1 N 0.0963 0.5988 0.5884 1
O1 O 0.0796 0.1762 0.5539 1
```

***

8.
CsZrCuSe3 after structural relaxation, computed with PBE-GGA.

Calculated values
The calculation puts the total DFT energy (no corrections) at -5.06 eV per atom. Its crystal system is monoclinic.

Cell and atoms, written as CIF:
```
data_CsZrCuSe3
_symmetry_space_group_name_H-M 'P 1 21/m 1'
_symmetry_Int_Tables_number 11
_cell_length_a 9.0496
_cell_length_b 3.9632
_cell_length_c 10.4030
_cell_angle_alpha 90.00
_cell_angle_beta 115.68
_cell_angle_gamma 90.00
loop_
_symmetry_equiv_pos_as_xyz
'x,y,z'
'-x,-y,-z'
'-x,y+1/2,-z'
'x,-y+1/2,z'
loop_
_atom_site_label
_atom_site_type_symbol
_atom_site_fract_x
_atom_site_fract_y
_atom_site_fract_z
_atom_site_occupancy
Cs1 Cs 0.2458 0.2500 0.2192 1
Zr1 Zr 0.1913 0.7500 0.6650 1
Cu1 Cu 0.4152 0.2500 0.8970 1
Se1 Se 0.0341 0.7500 0.3674 1
Se2 Se 0.2777 0.7500 0.9421 1
Se3 Se 0.3899 0.2500 0.6531 1
```

***

9.
PrScIr after structural relaxation, computed with PBE-GGA.

Calculated values
The calculation puts the total DFT energy (no corrections) at -6.63 eV per atom. The calculation puts the energy of formation at 0.5 kcal/mol of atoms. Its crystal system is cubic.

Cell and atoms, written as CIF:
```
data_PrScIr
_symmetry_space_group_name_H-M 'F -4 3 m'
_symmetry_Int_Tables_number 216
_symmetry_space_group_name_Hall 'F -4 2 3'
_cell_length_a 6.5233
_cell_length_b 6.5233
_cell_length_c 6.5233
_cell_angle_alpha 90.00
_cell_angle_beta 90.00
_cell_angle_gamma 90.00
loop_
_atom_site_label
_atom_site_type_symbol
_atom_site_fract_x
_atom_site_fract_y
_atom_site_fract_z
_atom_site_occupancy
Pr1 Pr 0.0000 0.0000 0.0000 1
Sc1 Sc 0.2500 0.2500 0.7500 1
Ir1 Ir 0.0000 0.0000 0.5000 1
```

***

10.
ZnMoN2 after structural relaxation, computed with PBE-GGA.

Calculated values
The calculation puts the total DFT energy (no corrections) at -7.46 eV per atom. Its crystal system is hexagonal.

Cell and atoms, written as CIF:
```
data_ZnMoN2
_symmetry_space_group_name_H-M 'P 63 m c'
_symmetry_Int_Tables_number 186
_symmetry_space_group_name_Hall 'P 6c -2c'
_cell_length_a 2.9261
_cell_length_b 2.9261
_cell_length_c 11.4849
_cell_angle_alpha 90.00
_cell_angle_beta 90.00
_cell_angle_gamma 120.00
loop_
_atom_site_label
_atom_site_type_symbol
_atom_site_fract_x
_atom_site_fract_y
_atom_site_fract_z
_atom_site_occupancy
Zn1 Zn 0.3333 0.6667 0.0000 1
Mo1 Mo 0.3333 0.6667 0.7705 1
N1 N 0.3333 0.6667 0.1644 1
N2 N 0.3333 0.6667 0.3871 1
```

***

11.
YPaNO after structural relaxation, computed with PBE-GGA.

Calculated values
The calculation puts the total DFT energy (no corrections) at -8.47 eV per atom. Its crystal system is tetragonal.

Cell and atoms, written as CIF:
```
data_YPaNO
_symmetry_space_group_name_H-M 'P 4/n m m'
_symmetry_Int_Tables_number 129
_cell_length_a 4.2755
_cell_length_b 4.2755
_cell_length_c 7.9593
_cell_angle_alpha 90.00
_cell_angle_beta 90.00
_cell_angle_gamma 90.00
loop_
_symmetry_equiv_pos_as_xyz
'x,y,z'
'-x,-y,-z'
'-y+1/2,x,z'
'y+1/2,-x,-z'
'-x+1/2,-y+1/2,z'
'x+1/2,y+1/2,-z'
'y,-x+1/2,z'
'-y,x+1/2,-z'
'x+1/2,-y,-z'
'-x+1/2,y,z'
'-y,-x,-z'
'y,x,z'
'-x,y+1/2,-z'
'x,-y+1/2,z'
'y+1/2,x+1/2,-z'
'-y+1/2,-x+1/2,z'
loop_
_atom_site_label
_atom_site_type_symbol
_atom_site_fract_x
_atom_site_fract_y
_atom_site_fract_z
_atom_site_occupancy
Y1 Y 0.2500 0.2500 0.1050 1
Pa1 Pa 0.2500 0.7500 0.5000 1
N1 N 0.2500 0.2500 0.6327 1
O1 O 0.2500 0.7500 0.0000 1
```

***

12.
PrTlAg after structural relaxation, computed with PBE-GGA.

Calculated values
The calculation puts the total DFT energy (no corrections) at -3.20 eV per atom. Its crystal system is cubic.

Cell and atoms, written as CIF:
```
data_PrTlAg
_symmetry_space_group_name_H-M 'F -4 3 m'
_symmetry_Int_Tables_number 216
_symmetry_space_group_name_Hall 'F -4 2 3'
_cell_length_a 7.2259
_cell_length_b 7.2259
_cell_length_c 7.2259
_cell_angle_alpha 90.00
_cell_angle_beta 90.00
_cell_angle_gamma 90.00
loop_
_atom_site_label
_atom_site_type_symbol
_atom_site_fract_x
_atom_site_fract_y
_atom_site_fract_z
_atom_site_occupancy
Pr1 Pr 0.0000 0.0000 0.0000 1
Tl1 Tl 0.2500 0.2500 0.2500 1
Ag1 Ag 0.2500 0.2500 0.7500 1
```

***

Which formula does entry 4 have? Tb3IrO6

***

Look up the total DFT energy (no corrections) of the third one. -5.63 eV per atom

***

Which formula does entry 9 have? PrScIr

***

total DFT energy (no corrections) of number 10 (ZnMoN2)? -7.46 eV per atom